Entry 1:
Entry from the Open Quantum Materials Database: an optimized crystal structure of SrCuBi2 (PBE).

Unit cell a=10.961 b=10.961 c=10.961 alpha=155.41 beta=155.41 gamma=35.06
Fractional positions:
Sr (0.131, 0.131, 0.000)
Sr (0.869, 0.869, 0.000)
Cu (0.250, 0.750, 0.500)
Cu (0.750, 0.250, 0.500)
Bi (0.000, 0.500, 0.500)
Bi (0.321, 0.321, 0.000)
Bi (0.500, 0.000, 0.500)
Bi (0.679, 0.679, 0.000)

V = 28.48 A^3/atom
Total energy = -0.276 Ry per atom
SG = No. 139
Mass density = 8.3 Mg/m³



Entry 2:
Entry from the Open Quantum Materials Database: an optimized crystal structure of KTbRe (PBE).

Unit cell a=4.949 b=4.949 c=4.949 alpha=60.00 beta=60.00 gamma=60.00
Fractional positions:
K (0.000, 0.000, 0.000)
Tb (0.250, 0.250, 0.250)
Re (0.750, 0.750, 0.750)

V = 28.58 A^3/atom
Total energy = -0.281 Ry per atom
Spin magnetization = 0.765 μB/atom
SG = No. 216
Mass density = 7.4 Mg/m³



Entry 3:
Entry from the Open Quantum Materials Database: an optimized crystal structure of Tm3Mg3Cd2Ir (PBE).

Unit cell a=7.421 b=7.421 c=4.382 alpha=90.00 beta=90.00 gamma=120.00
Fractional positions:
Tm (0.000, 0.385, 0.000)
Tm (0.385, 0.000, 0.000)
Tm (0.615, 0.615, 0.000)
Mg (0.000, 0.768, 0.500)
Mg (0.232, 0.232, 0.500)
Mg (0.768, 0.000, 0.500)
Cd (0.333, 0.667, 0.500)
Cd (0.667, 0.333, 0.500)
Ir (0.000, 0.000, 0.000)

V = 23.22 A^3/atom
Total energy = -0.260 Ry per atom
Spin magnetization = 0.003 μB/atom
SG = No. 189
Mass density = 7.9 Mg/m³



Entry 4:
Entry from the Open Quantum Materials Database: an optimized crystal structure of HoTm2Sb2 (PBE).

Unit cell a=4.581 b=4.581 c=8.143 alpha=90.00 beta=90.00 gamma=120.00
Fractional positions:
Ho (0.000, 0.000, 0.000)
Tm (0.333, 0.667, 0.632)
Tm (0.667, 0.333, 0.368)
Sb (0.333, 0.667, 0.205)
Sb (0.667, 0.333, 0.795)

V = 29.60 A^3/atom
Spin magnetization = 0.002 μB/atom
SG = No. 164
ΔE to the lowest computed polymorph = 0 meV/atom
Mass density = 8.4 Mg/m³



Entry 5:
Entry from the Open Quantum Materials Database: an optimized crystal structure of Co2MoP4W (PBE).

Unit cell a=3.299 b=3.299 c=11.192 alpha=90.00 beta=90.00 gamma=120.00
Fractional positions:
Co (0.000, 0.000, 0.250)
Co (0.000, 0.000, 0.750)
Mo (0.000, 0.000, 0.000)
P (0.333, 0.667, 0.141)
P (0.333, 0.667, 0.859)
P (0.667, 0.333, 0.359)
P (0.667, 0.333, 0.641)
W (0.000, 0.000, 0.500)

V = 13.19 A^3/atom
Total energy = -0.590 Ry per atom
Spin magnetization = 0.001 μB/atom
SG = No. 187
Mass density = 8.2 Mg/m³



Entry 6:
Entry from the Open Quantum Materials Database: an optimized crystal structure of DyPu3N4 (PBE).

Unit cell a=6.005 b=6.005 c=3.468 alpha=90.00 beta=90.00 gamma=109.43
Fractional positions:
Dy (0.000, 0.000, 0.000)
Pu (0.000, 0.500, 0.500)
Pu (0.500, 0.000, 0.500)
Pu (0.500, 0.500, 0.000)
N (0.252, 0.748, 0.000)
N (0.255, 0.255, 0.500)
N (0.745, 0.745, 0.500)
N (0.748, 0.252, 0.000)

V = 14.74 A^3/atom
Total energy = -0.844 Ry per atom
Spin magnetization = 1.794 μB/atom
SG = No. 65
Mass density = 13.4 Mg/m³



Entry 7:
Entry from the Open Quantum Materials Database: an optimized crystal structure of Tb2PdAu (PBE).

Unit cell a=5.672 b=4.664 c=7.548 alpha=90.00 beta=109.60 gamma=90.00
Fractional positions:
Tb (0.220, 0.250, 0.432)
Tb (0.229, 0.250, 0.930)
Tb (0.771, 0.750, 0.070)
Tb (0.780, 0.750, 0.568)
Pd (0.328, 0.750, 0.707)
Pd (0.672, 0.250, 0.293)
Au (0.327, 0.750, 0.208)
Au (0.673, 0.250, 0.792)

V = 23.51 A^3/atom
Total energy = -0.392 Ry per atom
Spin magnetization = 0.000 μB/atom
SG = No. 11
Mass density = 11.0 Mg/m³



Entry 8:
Entry from the Open Quantum Materials Database: an optimized crystal structure of NaNbCl4O (PBE).

Unit cell a=6.772 b=6.772 c=6.899 alpha=106.61 beta=106.61 gamma=34.38
Fractional positions:
Na (0.000, 0.000, 0.000)
Nb (0.548, 0.452, 0.500)
Cl (0.344, 0.376, 0.183)
Cl (0.356, 0.384, 0.687)
Cl (0.616, 0.644, 0.313)
Cl (0.624, 0.656, 0.817)
O (0.997, 0.003, 0.500)

V = 24.35 A^3/atom
Total energy = -0.371 Ry per atom
Spin magnetization = 0.001 μB/atom
SG = No. 5
Mass density = 2.7 Mg/m³



Entry 9:
Entry from the Open Quantum Materials Database: an optimized crystal structure of GaFeB4 (PBE).

Unit cell a=3.002 b=3.002 c=6.789 alpha=90.00 beta=90.00 gamma=120.00
Fractional positions:
Ga (0.000, 0.000, 0.000)
Fe (0.000, 0.000, 0.500)
B (0.333, 0.667, 0.272)
B (0.333, 0.667, 0.728)
B (0.667, 0.333, 0.272)
B (0.667, 0.333, 0.728)

V = 8.83 A^3/atom
Spin magnetization = 0.471 μB/atom
SG = No. 191
ΔE to the lowest computed polymorph = 0 meV/atom
Mass density = 5.3 Mg/m³



Entry 10:
Entry from the Open Quantum Materials Database: an optimized crystal structure of Zn4Os3 (PBE).

Unit cell a=7.289 b=7.289 c=4.356 alpha=90.00 beta=90.00 gamma=120.00
Fractional positions:
Zn (0.036, 0.807, 0.250)
Zn (0.193, 0.230, 0.250)
Zn (0.230, 0.036, 0.750)
Zn (0.333, 0.667, 0.250)
Zn (0.667, 0.333, 0.750)
Zn (0.770, 0.964, 0.250)
Zn (0.807, 0.770, 0.750)
Zn (0.964, 0.193, 0.750)
Os (0.089, 0.594, 0.750)
Os (0.406, 0.495, 0.750)
Os (0.495, 0.089, 0.250)
Os (0.505, 0.911, 0.750)
Os (0.594, 0.505, 0.250)
Os (0.911, 0.406, 0.250)

V = 14.32 A^3/atom
Spin magnetization = 0.015 μB/atom
SG = No. 176
ΔE to the lowest computed polymorph = 0 meV/atom
Mass density = 13.8 Mg/m³



Entry 11:
Entry from the Open Quantum Materials Database: an optimized crystal structure of MgNiHgBi (PBE).

Unit cell a=4.876 b=4.876 c=4.876 alpha=60.00 beta=60.00 gamma=60.00
Fractional positions:
Mg (0.000, 0.000, 0.000)
Ni (0.500, 0.500, 0.500)
Hg (0.750, 0.750, 0.750)
Bi (0.250, 0.250, 0.250)

V = 20.49 A^3/atom
Spin magnetization = 0.000 μB/atom
SG = No. 216
ΔE to the lowest computed polymorph = 0 meV/atom
Mass density = 10.0 Mg/m³